Here is a relaxed CsGaHg2Au crystal from Alexandria. Energies are from PBE.

Computed properties:
Space group ... No. 123
Theoretical density ... 7.96 g/cm³
Total magnetization ... 0.00 μB per formula unit
Electronic total energy ... -0.1216 Ry per atom
Energy of formation ... -0.10 eV/atom

a b c (Å): 5.762 5.762 5.029
angles (deg): 90.00 90.00 90.00
Fractional positions:
Cs  0.500  0.500  0.500
Au  0.000  0.000  0.000
Hg  0.000  0.500  0.000
Hg  0.500  0.000  0.000
Ga  0.000  0.000  0.500

Here is a relaxed CsGaHg2Au crystal from Alexandria. Energies are from PBE.

Computed properties:
Space group ... No. 123
Theoretical density ... 8.28 g/cm³
Total magnetization ... 0.00 μB per formula unit
Electronic total energy ... -0.1273 Ry per atom
Energy of formation ... -0.18 eV/atom

a b c (Å): 5.556 5.556 5.202
angles (deg): 90.00 90.00 90.00
Fractional positions:
Cs  0.500  0.500  0.500
Au  0.000  0.000  0.500
Hg  0.000  0.500  0.000
Hg  0.500  0.000  0.000
Ga  0.000  0.000  0.000

Here is a relaxed Cs2GaAuI crystal from Alexandria. Energies are from PBE.

Computed properties:
Formation energy (no corrections) ... -3.0 eV per formula unit
Space group ... No. 123
Theoretical density ... 4.52 g/cm³
Total magnetization ... 0.00 μB per formula unit
Electronic total energy ... -0.1850 Ry per atom

a b c (Å): 7.028 7.028 4.903
angles (deg): 90.00 90.00 90.00
Fractional positions:
Cs  0.000  0.500  0.000
Cs  0.500  0.000  0.000
I  0.500  0.500  0.500
Au  0.000  0.000  0.000
Ga  0.000  0.000  0.500

Here is a relaxed CsGaAuI2 crystal from Alexandria. Energies are from PBE.

Computed properties:
Formation energy (no corrections) ... 0.9 eV per formula unit
Space group ... No. 123
Theoretical density ... 3.69 g/cm³
Total magnetization ... 0.00 μB per formula unit
Electronic total energy ... -0.1373 Ry per atom

a b c (Å): 7.094 5.841 7.094
angles (deg): 90.00 90.00 90.00
Fractional positions:
Cs  0.000  0.000  0.000
I  0.000  0.000  0.500
I  0.500  0.000  0.000
Au  0.000  0.500  0.000
Ga  0.500  0.500  0.500

For the records above, the corresponding calculated volume values read 33.39 32.11 48.43 58.79 Å³ per atom.